Material: NaCd2CuF8
Method: DFT, PBE
State: relaxed

Values from the calculation:
Raw formation energy ... -2.020 eV/atom
SG ... P2/m
DOS(E_F) ... 0.304 states/eV/f.u.

Geometry as POSCAR:
```
NaCd2CuF8
1.0
5.0062 -0.0195 -0.0032
0.0170 4.9969 -0.0055
0.0042 0.0078 6.9173
Cu F Cd Na
1 8 2 1
direct
0.0000 0.0000 0.0000 Cu
0.1789 0.8108 0.7936 F
0.1790 0.8108 0.2064 F
0.7154 0.7267 0.0000 F
0.8211 0.1892 0.2064 F
0.8210 0.1892 0.7936 F
0.3138 0.3022 0.5000 F
0.2846 0.2733 0.0000 F
0.6862 0.6978 0.5000 F
0.5000 0.5000 0.2474 Cd
0.5000 0.5000 0.7526 Cd
0.0000 0.0000 0.5000 Na
```